[1]
Compound: ZrScIn4
Source: Alexandria via LeMat-Bulk
Functional: PBE
Structure: relaxed

DFT formation energy = 0.37 eV per formula unit
energy above the most stable polymorph in this dataset = 0.147 eV/atom
magnetic moment = 0.00 μB/cell
volume = 27.2 A^3/atom

a = 6.692 Å, b = 7.131 Å, c = 6.879 Å
α = 90.00°, β = 95.29°, γ = 90.00°
Element x y z (fractional)
In1 0.750 0.273 0.751
In2 0.250 0.273 0.249
In3 0.250 0.227 0.751
In4 0.750 0.773 0.249
In5 0.750 0.227 0.249
In6 0.250 0.727 0.249
In7 0.750 0.727 0.751
In8 0.250 0.773 0.751
Zr1 0.000 0.500 0.500
Zr2 0.500 0.000 0.500
Sc1 0.500 0.500 0.000
Sc2 0.000 0.000 0.000

[2]
Compound: ZrSc14In
Source: Alexandria via LeMat-Bulk
Functional: PBE
Structure: relaxed

DFT formation energy = -0.36 eV per formula unit
magnetic moment = 0.72 μB/cell
volume = 24.1 A^3/atom

a = 6.336 Å, b = 6.336 Å, c = 9.952 Å
α = 90.00°, β = 90.00°, γ = 105.38°
Element x y z (fractional)
Sc1 0.816 0.184 0.500
Sc2 0.087 0.340 0.246
Sc3 0.087 0.340 0.754
Sc4 0.595 0.405 0.728
Sc5 0.157 0.843 0.777
Sc6 0.157 0.843 0.223
Sc7 0.595 0.405 0.272
Sc8 0.660 0.913 0.246
Sc9 0.368 0.632 0.500
Sc10 0.863 0.556 0.000
Sc11 0.444 0.137 0.000
Sc12 0.299 0.104 0.500
Sc13 0.660 0.913 0.754
Sc14 0.896 0.701 0.500
Zr1 0.387 0.613 0.000
In1 0.929 0.071 0.000

[3]
Compound: Zr4Sc9In11
Source: Alexandria via LeMat-Bulk
Functional: PBE
Structure: relaxed

DFT formation energy = -7.97 eV per formula unit
magnetic moment = 2.96 μB/cell
volume = 22.5 A^3/atom

a = 3.162 Å, b = 13.084 Å, c = 13.084 Å
α = 92.97°, β = 90.00°, γ = 90.00°
Element x y z (fractional)
In1 0.000 0.074 0.412
In2 0.000 0.355 0.645
In3 0.000 0.645 0.355
In4 0.000 0.926 0.588
In5 0.000 0.763 0.763
In6 0.000 0.176 0.824
In7 0.000 0.000 0.000
In8 0.000 0.237 0.237
In9 0.000 0.588 0.926
In10 0.000 0.412 0.074
In11 0.000 0.824 0.176
Sc1 0.500 0.031 0.207
Sc2 0.500 0.207 0.031
Sc3 0.500 0.969 0.793
Sc4 0.500 0.793 0.969
Sc5 0.500 0.866 0.381
Sc6 0.500 0.619 0.134
Sc7 0.500 0.500 0.500
Sc8 0.500 0.134 0.619
Sc9 0.500 0.381 0.866
Zr1 0.500 0.440 0.278
Zr2 0.500 0.278 0.440
Zr3 0.500 0.560 0.722
Zr4 0.500 0.722 0.560